Model i:
Entry from Alexandria via LeMat-Bulk: crystalline SiBiSbTe2 at its relaxed geometry (GGA-PBE).

Structure (CIF):
```
data_SiBiSbTe2
_chemical_formula_sum 'Si1 Bi1 Sb1 Te2'
_space_group_name_H-M_alt 'P 1'
_space_group_IT_number 1
_cell_length_a 5.2624
_cell_length_b 5.2624
_cell_length_c 5.3048
_cell_angle_alpha 90.00
_cell_angle_beta 90.00
_cell_angle_gamma 90.00
loop_
_space_group_symop_operation_xyz
'x,y,z'
loop_
_atom_site_label
_atom_site_type_symbol
_atom_site_fract_x
_atom_site_fract_y
_atom_site_fract_z
_atom_site_occupancy
Sb1 Sb 0.0000 0.0000 0.5000 1
Bi1 Bi 0.5000 0.5000 0.5000 1
Te1 Te 0.5000 0.0000 0.0000 1
Te2 Te 0.0000 0.5000 0.0000 1
Si1 Si 0.0000 0.0000 0.0000 1
```

Values from the calculation:
total magnetic moment = 0.0 μB per cell
mass density = 6.9 g cm⁻³


Model ii:
Entry from Alexandria via LeMat-Bulk: crystalline SiBiSbTe2 at its relaxed geometry (GGA-PBE).

Structure (CIF):
```
data_SiBiSbTe2
_chemical_formula_sum 'Si1 Bi1 Sb1 Te2'
_space_group_name_H-M_alt 'P 1'
_space_group_IT_number 1
_cell_length_a 5.8798
_cell_length_b 5.8798
_cell_length_c 5.7836
_cell_angle_alpha 90.00
_cell_angle_beta 90.00
_cell_angle_gamma 90.00
loop_
_space_group_symop_operation_xyz
'x,y,z'
loop_
_atom_site_label
_atom_site_type_symbol
_atom_site_fract_x
_atom_site_fract_y
_atom_site_fract_z
_atom_site_occupancy
Si1 Si 0.5000 0.5000 0.5000 1
Te1 Te 0.0000 0.5000 0.0000 1
Te2 Te 0.5000 0.0000 0.0000 1
Bi1 Bi 0.0000 0.0000 0.0000 1
Sb1 Sb 0.0000 0.0000 0.5000 1
```

Values from the calculation:
total magnetic moment = 0.0 μB per cell
mass density = 5.1 g cm⁻³


Most favorable structure: model i. The second most favorable one is 67.2 kJ/mol of atoms above it.


Model i:
Entry from Alexandria via LeMat-Bulk: crystalline SmBiSb2 at its relaxed geometry (GGA-PBE).

Structure (CIF):
```
data_SmBiSb2
_chemical_formula_sum 'Sm1 Bi1 Sb2'
_space_group_name_H-M_alt 'P 1'
_space_group_IT_number 1
_cell_length_a 4.1929
_cell_length_b 4.1929
_cell_length_c 6.5938
_cell_angle_alpha 90.00
_cell_angle_beta 90.00
_cell_angle_gamma 90.00
loop_
_space_group_symop_operation_xyz
'x,y,z'
loop_
_atom_site_label
_atom_site_type_symbol
_atom_site_fract_x
_atom_site_fract_y
_atom_site_fract_z
_atom_site_occupancy
Sb1 Sb 0.0000 0.0000 0.2656 1
Sb2 Sb 0.0000 0.0000 0.7344 1
Sm1 Sm 0.5000 0.5000 0.5000 1
Bi1 Bi 0.5000 0.5000 0.0000 1
```

Values from the calculation:
total magnetic moment = 0.0 μB per cell
mass density = 8.6 g cm⁻³


Model ii:
Entry from Alexandria via LeMat-Bulk: crystalline SmBiSb2 at its relaxed geometry (GGA-PBE).

Structure (CIF):
```
data_SmBiSb2
_chemical_formula_sum 'Sm1 Bi1 Sb2'
_space_group_name_H-M_alt 'P 1'
_space_group_IT_number 1
_cell_length_a 4.1949
_cell_length_b 5.2487
_cell_length_c 5.2487
_cell_angle_alpha 90.00
_cell_angle_beta 90.00
_cell_angle_gamma 90.00
loop_
_space_group_symop_operation_xyz
'x,y,z'
loop_
_atom_site_label
_atom_site_type_symbol
_atom_site_fract_x
_atom_site_fract_y
_atom_site_fract_z
_atom_site_occupancy
Sm1 Sm 0.5000 0.0000 0.0000 1
Sb1 Sb 0.0000 0.5000 0.0000 1
Sb2 Sb 0.0000 0.0000 0.5000 1
Bi1 Bi 0.5000 0.5000 0.5000 1
```

Values from the calculation:
total magnetic moment = 0.0 μB per cell
mass density = 8.7 g cm⁻³


Model iii:
Entry from Alexandria via LeMat-Bulk: crystalline SmBiSb2 at its relaxed geometry (GGA-PBE).

Structure (CIF):
```
data_SmBiSb2
_chemical_formula_sum 'Sm1 Bi1 Sb2'
_space_group_name_H-M_alt 'P 1'
_space_group_IT_number 1
_cell_length_a 3.4987
_cell_length_b 3.4987
_cell_length_c 11.7233
_cell_angle_alpha 81.42
_cell_angle_beta 81.42
_cell_angle_gamma 60.00
loop_
_space_group_symop_operation_xyz
'x,y,z'
loop_
_atom_site_label
_atom_site_type_symbol
_atom_site_fract_x
_atom_site_fract_y
_atom_site_fract_z
_atom_site_occupancy
Sb1 Sb 0.9076 0.9076 0.2773 1
Sb2 Sb 0.0924 0.0924 0.7227 1
Sm1 Sm 0.5000 0.5000 0.5000 1
Bi1 Bi 0.0000 0.0000 0.0000 1
```

Values from the calculation:
total magnetic moment = 0.0 μB per cell
mass density = 8.2 g cm⁻³


Most favorable structure: model ii. The second most favorable one is 2.9 kJ/mol of atoms above it.


Model i:
Entry from Alexandria via LeMat-Bulk: crystalline Sm2BiSb at its relaxed geometry (GGA-PBE).

Structure (CIF):
```
data_Sm2BiSb
_chemical_formula_sum 'Sm2 Bi1 Sb1'
_space_group_name_H-M_alt 'P 1'
_space_group_IT_number 1
_cell_length_a 4.4695
_cell_length_b 4.4695
_cell_length_c 8.1211
_cell_angle_alpha 74.03
_cell_angle_beta 74.03
_cell_angle_gamma 60.00
loop_
_space_group_symop_operation_xyz
'x,y,z'
loop_
_atom_site_label
_atom_site_type_symbol
_atom_site_fract_x
_atom_site_fract_y
_atom_site_fract_z
_atom_site_occupancy
Bi1 Bi 0.6679 0.6679 0.9963 1
Sm1 Sm 0.2504 0.2504 0.2487 1
Sm2 Sm 0.0829 0.0829 0.7513 1
Sb1 Sb 0.4988 0.4988 0.5037 1
```

Values from the calculation:
total magnetic moment = 0.0 μB per cell
mass density = 7.9 g cm⁻³


Model ii:
Entry from Alexandria via LeMat-Bulk: crystalline Sm2BiSb at its relaxed geometry (GGA-PBE).

Structure (CIF):
```
data_Sm2BiSb
_chemical_formula_sum 'Sm2 Bi1 Sb1'
_space_group_name_H-M_alt 'P 1'
_space_group_IT_number 1
_cell_length_a 4.5145
_cell_length_b 4.5145
_cell_length_c 7.8198
_cell_angle_alpha 89.96
_cell_angle_beta 106.81
_cell_angle_gamma 120.03
loop_
_space_group_symop_operation_xyz
'x,y,z'
loop_
_atom_site_label
_atom_site_type_symbol
_atom_site_fract_x
_atom_site_fract_y
_atom_site_fract_z
_atom_site_occupancy
Sm1 Sm 0.4961 0.2480 0.7441 1
Sm2 Sm 0.5039 0.7520 0.2559 1
Sb1 Sb 0.0000 0.5000 0.5000 1
Bi1 Bi 0.0000 0.0000 0.0000 1
```

Values from the calculation:
total magnetic moment = 0.0 μB per cell
mass density = 8.1 g cm⁻³


Most favorable structure: model ii. The second most favorable one is 11.8 kJ/mol of atoms above it.